NaGa3Tc: optimized geometry, PBE-GGA.

Cell: 11.9956 6.6566 5.0778 Å, 90.00 90.95 90.00°
Space group C2/m (No. 12)
One atom of each set of equivalent atoms:
Na1 0.1507 0.0000 0.0112 x4
Ga1 0.0000 0.1872 0.5000 x4
Ga2 0.1006 0.5000 0.8785 x4
Ga3 0.2500 0.2500 0.5000 x4
Tc1 0.1076 0.5000 0.3681 x4

Energy above the lowest structure with this stoichiometry, meV/atom: 0
Uncorrected energy, eV per atom: -4.26
Formation energy, eV per atom: -0.1108